Here is SrLiCoTe after structural relaxation from OQMD. Energies are from GGA-PBE.

POSCAR file:
```
SrLiCoTe
1.0
-2.420 -1.173 4.127
-4.919 -0.252 -0.016
-2.244 -4.368 0.383
Te Sr Co Li
1 1 1 1
Direct
0.250 0.250 0.250 Te
0.000 0.000 0.000 Sr
0.500 0.500 0.500 Co
0.750 0.750 0.750 Li
```

Total energy, eV for the cell shown: -13.7
Crystal system: cubic